1.
! SrGaTc2W | Alexandria | GGA-PBE | relaxed; values from VASP
! DFT formation energy, eV/f.u.: 15.08
! Crystal system: tetragonal
! N(E_F), states/eV/f.u.: 7.9
&SYSTEM
  ibrav = 0, nat = 5, ntyp = 4
/
ATOMIC_SPECIES
Sr 87.62 Sr.upf
Ga 69.72 Ga.upf
Tc 98.00 Tc.upf
W 183.84 W.upf
CELL_PARAMETERS angstrom
4.660 0.000 0.000
0.000 4.660 0.000
0.000 0.000 4.952
ATOMIC_POSITIONS angstrom
Sr 0.000 0.000 0.000
Ga 0.000 0.000 2.476
Tc 0.000 2.330 0.000
Tc 2.330 0.000 0.000
W 2.330 2.330 2.476

2.
! Sr2GaTcW | Alexandria | GGA-PBE | relaxed; values from VASP
! DFT formation energy, eV/f.u.: 5.29
! Crystal system: tetragonal
! N(E_F), states/eV/f.u.: 6.3
&SYSTEM
  ibrav = 0, nat = 5, ntyp = 4
/
ATOMIC_SPECIES
Sr 87.62 Sr.upf
Ga 69.72 Ga.upf
Tc 98.00 Tc.upf
W 183.84 W.upf
CELL_PARAMETERS angstrom
6.119 0.000 0.000
0.000 6.119 0.000
0.000 0.000 4.550
ATOMIC_POSITIONS angstrom
Sr 0.000 3.059 0.000
Sr 3.059 0.000 0.000
Ga 0.000 0.000 2.275
Tc 3.059 3.059 2.275
W 3.059 3.059 0.000